## LaSbPO2 (GGA-PBE)

Data for a geometry-optimized LaSbPO2 structure.

Cell lengths 4.255, 4.255, 5.063 Å; angles 90.00, 90.00, 90.00 degrees
Fractional positions:
Sb  0.000  0.000  0.000
O  0.000  0.500  0.000
O  0.500  0.000  0.000
P  0.000  0.000  0.500
La  0.500  0.500  0.500

SG = No. 123
energy relative to the elements, uncorrected = -1.2975 eV/atom
density of states at the Fermi level = 0.8 states/eV/cell

***

## La4SbP2O (GGA-PBE)

Data for a geometry-optimized La4SbP2O structure.

Cell lengths 4.283, 7.394, 14.766 Å; angles 90.00, 90.00, 106.84 degrees
Fractional positions:
La  0.263  0.527  0.122
La  0.737  0.473  0.622
La  0.737  0.473  0.878
La  0.263  0.527  0.378
La  0.000  0.000  0.500
La  0.000  0.000  0.000
La  0.424  0.849  0.750
La  0.576  0.151  0.250
Sb  0.105  0.211  0.750
Sb  0.895  0.789  0.250
P  0.366  0.733  0.556
P  0.634  0.267  0.056
P  0.634  0.267  0.444
P  0.366  0.733  0.944
O  0.837  0.674  0.750
O  0.163  0.326  0.250

SG = No. 63
energy relative to the elements, uncorrected = -1.8426 eV/atom
density of states at the Fermi level = 6.9 states/eV/cell